1.
The following is a DFT calculation (PBE-GGA) of a geometry-optimized AcYSbO5 structure.

abc: 6.277 6.277 8.318
angles: 106.94 106.94 102.61
Last column: magnetic moment on the atom in μB.
Atoms (fractional coordinates):
Ac1 0.316 0.684 0.250  0.02
Ac2 0.684 0.316 0.750  0.02
Y1 0.000 0.000 0.500  0.00
Y2 0.000 0.000 0.000  0.00
Sb1 0.692 0.308 0.250  0.15
Sb2 0.308 0.692 0.750  0.15
O1 0.077 0.923 0.250  0.02
O2 0.923 0.077 0.750  0.02
O3 0.887 0.339 0.088  0.17
O4 0.113 0.661 0.912  0.17
O5 0.661 0.113 0.412  0.17
O6 0.339 0.887 0.588  0.17
O7 0.736 0.629 0.404  0.06
O8 0.264 0.371 0.596  0.06
O9 0.371 0.264 0.096  0.06
O10 0.629 0.736 0.904  0.06

Values from the calculation:
The theoretical density comes out at 6.08 g/cm3. Its calculated total energy is -7.490 eV/atom. The formation energy from raw total energies is -2.5546 eV per atom. Its symmetry is C2/c, No. 15.

2.
The following is a DFT calculation (PBE-GGA) of a geometry-optimized Ac2YSb2O2 structure.

abc: 4.524 4.524 9.111
angles: 104.38 104.38 90.00
Atoms (fractional coordinates):
Ac1 0.384 0.384 0.769
Ac2 0.616 0.616 0.231
Y1 0.000 0.000 0.000
Sb1 0.186 0.186 0.372
Sb2 0.814 0.814 0.628
O1 0.000 0.500 0.000
O2 0.500 0.000 0.000

Values from the calculation:
The theoretical density comes out at 7.78 g/cm3. Its calculated total energy is -6.703 eV/atom. The formation energy from raw total energies is -2.0118 eV per atom. Its symmetry is I4/mmm, No. 139.

3.
The following is a DFT calculation (PBE-GGA) of a geometry-optimized Ac2ZnSbO6 structure.

abc: 5.070 5.609 5.609
angles: 90.00 90.00 90.00
Atoms (fractional coordinates):
Ac1 0.027 0.500 0.000
Ac2 0.027 0.000 0.500
Zn1 0.568 0.500 0.500
Sb1 0.590 0.000 0.000
O1 0.718 0.249 0.249
O2 0.718 0.249 0.751
O3 0.182 0.500 0.500
O4 0.182 0.000 0.000
O5 0.718 0.751 0.751
O6 0.718 0.751 0.249

Values from the calculation:
The theoretical density comes out at 7.68 g/cm3. Its calculated total energy is -6.580 eV/atom. The formation energy from raw total energies is -2.2442 eV per atom. Its symmetry is P4mm, No. 99.

4.
The following is a DFT calculation (PBE-GGA) of a geometry-optimized AcZnSbO6 structure.

abc: 5.328 5.328 10.804
angles: 90.00 90.00 120.00
Last column: magnetic moment on the atom in μB.
Atoms (fractional coordinates):
Ac1 0.000 0.000 0.000  0.03
Ac2 0.000 0.000 0.500  0.03
Zn1 0.667 0.333 0.250  0.18
Zn2 0.333 0.667 0.750  0.18
Sb1 0.333 0.667 0.250  -0.03
Sb2 0.667 0.333 0.750  -0.03
O1 0.620 0.628 0.144  0.27
O2 0.008 0.380 0.144  0.27
O3 0.380 0.008 0.644  0.27
O4 0.992 0.620 0.856  0.27
O5 0.372 0.380 0.356  0.27
O6 0.008 0.628 0.356  0.27
O7 0.628 0.008 0.856  0.27
O8 0.620 0.992 0.356  0.27
O9 0.992 0.372 0.644  0.27
O10 0.372 0.992 0.144  0.27
O11 0.628 0.620 0.644  0.27
O12 0.380 0.372 0.856  0.27

Values from the calculation:
The theoretical density comes out at 6.38 g/cm3. Its calculated total energy is -6.061 eV/atom. The formation energy from raw total energies is -1.6998 eV per atom. Its symmetry is P-31c, No. 163.

5.
The following is a DFT calculation (PBE-GGA) of a geometry-optimized AcZnSbO structure.

abc: 4.348 4.348 9.824
angles: 90.00 90.00 90.00
Atoms (fractional coordinates):
Ac1 0.500 0.000 0.625
Ac2 0.000 0.500 0.375
Zn1 0.500 0.500 0.000
Zn2 0.000 0.000 0.000
Sb1 0.000 0.500 0.827
Sb2 0.500 0.000 0.173
O1 0.000 0.000 0.500
O2 0.500 0.500 0.500

Values from the calculation:
The theoretical density comes out at 7.69 g/cm3. Its calculated total energy is -5.357 eV/atom. The formation energy from raw total energies is -1.7413 eV per atom. Its symmetry is P4/nmm, No. 129.

6.
The following is a DFT calculation (PBE-GGA) of a geometry-optimized AcZnSb2O8 structure.

abc: 5.165 5.163 6.462
angles: 90.00 90.00 85.10
Last column: magnetic moment on the atom in μB.
Atoms (fractional coordinates):
Ac1 0.000 0.000 0.500  0.04
Zn1 0.000 0.000 0.000  0.02
Sb1 0.500 0.500 0.760  -0.01
Sb2 0.500 0.500 0.240  -0.01
O1 0.218 0.782 0.221  0.13
O2 0.680 0.681 0.000  0.14
O3 0.782 0.218 0.221  0.13
O4 0.782 0.218 0.779  0.13
O5 0.320 0.319 0.000  0.14
O6 0.218 0.782 0.779  0.13
O7 0.665 0.666 0.500  0.02
O8 0.335 0.334 0.500  0.02

Values from the calculation:
The theoretical density comes out at 6.42 g/cm3. Its calculated total energy is -6.043 eV/atom. The formation energy from raw total energies is -1.6018 eV per atom. Its symmetry is Cmmm, No. 65.

7.
The following is a DFT calculation (PBE-GGA) of a geometry-optimized AcZrSbO5 structure.

abc: 6.203 6.203 8.559
angles: 109.90 109.90 99.76
Atoms (fractional coordinates):
Ac1 0.311 0.689 0.250
Ac2 0.689 0.311 0.750
Zr1 0.000 0.000 0.500
Zr2 0.000 0.000 0.000
Sb1 0.706 0.294 0.250
Sb2 0.294 0.706 0.750
O1 0.036 0.964 0.250
O2 0.964 0.036 0.750
O3 0.883 0.315 0.057
O4 0.117 0.685 0.943
O5 0.685 0.117 0.443
O6 0.315 0.883 0.557
O7 0.749 0.646 0.371
O8 0.251 0.354 0.629
O9 0.354 0.251 0.129
O10 0.646 0.749 0.871

Values from the calculation:
The theoretical density comes out at 6.27 g/cm3. Its calculated total energy is -7.839 eV/atom. The formation energy from raw total energies is -2.6426 eV per atom. Its symmetry is C2/c, No. 15.

8.
The following is a DFT calculation (PBE-GGA) of a geometry-optimized Ac2ScO structure.

abc: 3.737 3.737 10.025
angles: 79.26 79.26 60.00
Last column: magnetic moment on the atom in μB.
Atoms (fractional coordinates):
Sc1 0.000 0.000 0.000  0.12
Ac1 0.114 0.114 0.658  0.02
Ac2 0.886 0.886 0.342  0.02
O1 0.500 0.500 0.500  0.00

Values from the calculation:
The theoretical density comes out at 7.22 g/cm3. Its calculated total energy is -5.730 eV/atom. The formation energy from raw total energies is -0.8532 eV per atom. Its symmetry is R-3m, No. 166.

9.
The following is a DFT calculation (PBE-GGA) of a geometry-optimized Ac4Sc3O10 structure.

abc: 4.128 4.128 15.050
angles: 97.88 97.88 90.00
Atoms (fractional coordinates):
Ac1 0.568 0.568 0.136
Ac2 0.432 0.432 0.864
Ac3 0.297 0.297 0.594
Ac4 0.703 0.703 0.406
Sc1 0.140 0.140 0.280
Sc2 0.860 0.860 0.720
Sc3 0.000 0.000 0.000
O1 0.141 0.641 0.281
O2 0.070 0.070 0.141
O3 0.641 0.141 0.281
O4 0.859 0.359 0.719
O5 0.359 0.859 0.719
O6 0.930 0.930 0.859
O7 0.215 0.215 0.430
O8 0.785 0.785 0.570
O9 0.000 0.500 0.000
O10 0.500 0.000 0.000

Values from the calculation:
The theoretical density comes out at 7.94 g/cm3. Its calculated total energy is -8.308 eV/atom. The formation energy from raw total energies is -3.3078 eV per atom. Its symmetry is I4/mmm, No. 139.

10.
The following is a DFT calculation (PBE-GGA) of a geometry-optimized AcScO2 structure.

abc: 3.424 3.424 6.278
angles: 74.17 74.17 60.00
Atoms (fractional coordinates):
Sc1 0.000 0.000 0.000
Ac1 0.500 0.500 0.500
O1 0.726 0.726 0.821
O2 0.274 0.274 0.179

Values from the calculation:
The theoretical density comes out at 8.34 g/cm3. Its calculated total energy is -7.788 eV/atom. The formation energy from raw total energies is -2.6985 eV per atom. Its symmetry is R-3m, No. 166.

11.
The following is a DFT calculation (PBE-GGA) of a geometry-optimized AcScO structure.

abc: 3.634 5.293 8.937
angles: 90.00 90.00 90.00
Atoms (fractional coordinates):
Ac1 0.500 0.750 0.696
Ac2 0.500 0.250 0.304
O1 0.000 0.250 0.826
O2 0.000 0.750 0.174
Sc1 0.000 0.000 0.000
Sc2 0.000 0.500 0.000

Values from the calculation:
The theoretical density comes out at 5.56 g/cm3. Its calculated total energy is -6.179 eV/atom. The formation energy from raw total energies is -1.0461 eV per atom. Its symmetry is Pmma, No. 51.

12.
The following is a DFT calculation (PBE-GGA) of a geometry-optimized AcScO3 structure.

abc: 5.847 5.847 10.141
angles: 73.50 73.50 59.71
Atoms (fractional coordinates):
Ac1 0.880 0.382 0.869
Ac2 0.618 0.120 0.631
Ac3 0.120 0.618 0.131
Ac4 0.382 0.880 0.369
Sc1 0.000 0.500 0.500
Sc2 0.500 0.000 0.000
Sc3 0.750 0.250 0.250
Sc4 0.250 0.750 0.750
O1 0.849 0.850 0.849
O2 0.150 0.151 0.651
O3 0.151 0.150 0.151
O4 0.850 0.849 0.349
O5 0.650 0.651 0.650
O6 0.349 0.350 0.850
O7 0.350 0.349 0.350
O8 0.651 0.650 0.150
O9 0.331 0.829 0.920
O10 0.171 0.669 0.580
O11 0.829 0.331 0.420
O12 0.669 0.171 0.080

Values from the calculation:
The theoretical density comes out at 7.51 g/cm3. Its calculated total energy is -8.560 eV/atom. The formation energy from raw total energies is -3.4972 eV per atom. Its symmetry is C2/c, No. 15.